Entry 1:
The following is a PBE calculation of a relaxed BaCuRh crystal, from the Alexandria database.

a = 4.2843 Å, b = 4.2843 Å, c = 4.6776 Å
α = 90.00°, β = 90.00°, γ = 120.00°
With the nearest neighbours (Å) after each atom.
Fractional positions:
Ba 0.0000 0.0000 0.0000  6 Cu 3.40, 6 Rh 3.40
Cu 0.6667 0.3333 0.5000  3 Rh 2.47
Rh 0.3333 0.6667 0.5000  3 Cu 2.47

Properties
Formation enthalpy at 0 K in eV per atom: -0.050
Total magnetization in μB/f.u.: 0.000
Space group: P-6m2, No. 187

Entry 2:
The following is a PBE calculation of a relaxed NaHf crystal, from the Alexandria database.

a = 3.0100 Å, b = 5.0779 Å, c = 6.7129 Å
α = 90.00°, β = 90.00°, γ = 90.00°
With the nearest neighbours (Å) after each atom.
Fractional positions:
Na 0.2500 0.2500 0.0987  6 Na 3.01-3.24
Na 0.7500 0.7500 0.9013  6 Na 3.01-3.24
Hf 0.2500 0.7500 0.4485  6 Hf 3.01-3.03
Hf 0.7500 0.2500 0.5515  6 Hf 3.01-3.03

Properties
Formation enthalpy at 0 K in eV per atom: 0.529
Total magnetization in μB/f.u.: 0.000
Space group: Pmmn, No. 59

Entry 3:
The following is a PBE calculation of a relaxed KTm2MnSe4 crystal, from the Alexandria database.

a = 7.3103 Å, b = 7.3103 Å, c = 14.3309 Å
α = 90.00°, β = 90.00°, γ = 147.50°
With the nearest neighbours (Å) after each atom.
Fractional positions:
K 0.1114 0.8886 0.7500  6 Se 3.20-3.36
K 0.8886 0.1114 0.2500  6 Se 3.20-3.36
Tm 0.3680 0.6320 0.5623  6 Se 2.84-2.90
Tm 0.3680 0.6320 0.9377  6 Se 2.84-2.90
Tm 0.6320 0.3680 0.0623  6 Se 2.84-2.90
Tm 0.6320 0.3680 0.4377  6 Se 2.84-2.90
Mn 0.1653 0.8347 0.2500  4 Se 2.46-2.49
Mn 0.8347 0.1653 0.7500  4 Se 2.46-2.49
Se 0.0000 0.0000 0.0000  4 Tm 2.90
Se 0.0000 0.0000 0.5000  4 Tm 2.90
Se 0.2652 0.7348 0.1086  1 Mn 2.46
Se 0.2652 0.7348 0.3914  1 Mn 2.46
Se 0.4363 0.5637 0.7500  2 Mn 2.49
Se 0.5637 0.4363 0.2500  2 Mn 2.49
Se 0.7348 0.2652 0.6086  1 Mn 2.46
Se 0.7348 0.2652 0.8914  1 Mn 2.46

Properties
E_form (uncorrected) in eV/atom: -1.42
Total magnetization in μB/f.u.: 4.061
Space group: Cmcm, No. 63

Entry 4:
The following is a PBE calculation of a relaxed MnCdIr2 crystal, from the Alexandria database.

a = 2.8232 Å, b = 2.8232 Å, c = 27.1452 Å
α = 90.00°, β = 90.00°, γ = 120.00°
With the nearest neighbours (Å) after each atom.
Fractional positions:
Mn 0.0000 0.0000 0.0000  3 Ir 2.60, 6 Mn 2.82
Mn 0.3333 0.6667 0.6667  3 Ir 2.60, 6 Mn 2.82
Mn 0.6667 0.3333 0.3333  3 Ir 2.60, 6 Mn 2.82
Cd 0.0000 0.0000 0.2443  6 Cd 2.82, 3 Ir 2.90, 3 Mn 2.92
Cd 0.3333 0.6667 0.9109  6 Cd 2.82, 3 Ir 2.90, 3 Mn 2.92
Cd 0.6667 0.3333 0.5776  6 Cd 2.82, 3 Ir 2.90, 3 Mn 2.92
Ir 0.0000 0.0000 0.4891  9 Ir 2.74-2.82, 3 Cd 2.90
Ir 0.0000 0.0000 0.7412  3 Mn 2.60, 9 Ir 2.74-2.82
Ir 0.3333 0.6667 0.1558  9 Ir 2.74-2.82, 3 Cd 2.90
Ir 0.3333 0.6667 0.4079  3 Mn 2.60, 9 Ir 2.74-2.82
Ir 0.6667 0.3333 0.0745  3 Mn 2.60, 9 Ir 2.74-2.82
Ir 0.6667 0.3333 0.8225  9 Ir 2.74-2.82, 3 Cd 2.90

Properties
Formation enthalpy at 0 K in eV per atom: 0.198
Total magnetization in μB/f.u.: 2.812
Space group: R3m, No. 160

Entry 5:
The following is a PBE calculation of a relaxed SrCrTe crystal, from the Alexandria database.

a = 7.3561 Å, b = 7.3561 Å, c = 7.3561 Å
α = 90.00°, β = 90.00°, γ = 90.00°
With the nearest neighbours (Å) after each atom.
Fractional positions:
Sr 0.0000 0.0000 0.0000  4 Te 3.19
Sr 0.0000 0.5000 0.5000  4 Te 3.19
Sr 0.5000 0.0000 0.5000  4 Te 3.19
Sr 0.5000 0.5000 0.0000  4 Te 3.19
Cr 0.0000 0.0000 0.5000  4 Te 3.19
Cr 0.0000 0.5000 0.0000  4 Te 3.19
Cr 0.5000 0.0000 0.0000  4 Te 3.19
Cr 0.5000 0.5000 0.5000  4 Te 3.19
Te 0.2500 0.2500 0.2500  4 Cr 3.19, 4 Sr 3.19
Te 0.2500 0.7500 0.7500  4 Cr 3.19, 4 Sr 3.19
Te 0.7500 0.2500 0.7500  4 Cr 3.19, 4 Sr 3.19
Te 0.7500 0.7500 0.2500  4 Cr 3.19, 4 Sr 3.19

Properties
E_form (uncorrected) in eV/atom: -0.07
Total magnetization in μB/f.u.: 4.824
Space group: F-43m, No. 216

Entry 6:
The following is a PBE calculation of a relaxed SmTh2Pa crystal, from the Alexandria database.

a = 3.3896 Å, b = 3.3896 Å, c = 37.2694 Å
α = 90.00°, β = 90.00°, γ = 120.00°
With the nearest neighbours (Å) after each atom.
Fractional positions:
Sm 0.0000 0.0000 0.0000  2 Th 3.30, 6 Sm 3.39
Sm 0.3333 0.6667 0.6667  2 Th 3.30, 6 Sm 3.39
Sm 0.6667 0.3333 0.3333  2 Th 3.30, 6 Sm 3.39
Th 0.0000 0.0000 0.0884  1 Sm 3.30, 6 Th 3.39, 3 Pa 3.51
Th 0.0000 0.0000 0.9116  1 Sm 3.30, 6 Th 3.39, 3 Pa 3.51
Th 0.3333 0.6667 0.5782  1 Sm 3.30, 6 Th 3.39, 3 Pa 3.51
Th 0.3333 0.6667 0.7551  1 Sm 3.30, 6 Th 3.39, 3 Pa 3.51
Th 0.6667 0.3333 0.2449  1 Sm 3.30, 6 Th 3.39, 3 Pa 3.51
Th 0.6667 0.3333 0.4218  1 Sm 3.30, 6 Th 3.39, 3 Pa 3.51
Pa 0.0000 0.0000 0.5000  6 Pa 3.39, 6 Th 3.51
Pa 0.3333 0.6667 0.1667  6 Pa 3.39, 6 Th 3.51
Pa 0.6667 0.3333 0.8333  6 Pa 3.39, 6 Th 3.51

Properties
Formation enthalpy at 0 K in eV per atom: 0.288
Total magnetization in μB/f.u.: 0.000
Space group: R-3m, No. 166

Entry 7:
The following is a PBE calculation of a relaxed TaSnP2 crystal, from the Alexandria database.

a = 6.0094 Å, b = 6.0094 Å, c = 11.4182 Å
α = 90.00°, β = 90.00°, γ = 90.00°
With the nearest neighbours (Å) after each atom.
Fractional positions:
Ta 0.0000 0.0000 0.0000  4 P 2.41
Ta 0.0000 0.5000 0.2500  4 P 2.41
Ta 0.5000 0.0000 0.7500  4 P 2.41
Ta 0.5000 0.5000 0.5000  4 P 2.41
Sn 0.0000 0.0000 0.5000  4 P 2.73
Sn 0.0000 0.5000 0.7500  4 P 2.73
Sn 0.5000 0.0000 0.2500  4 P 2.73
Sn 0.5000 0.5000 0.0000  4 P 2.73
P 0.2044 0.2500 0.1250  2 Ta 2.41
P 0.2500 0.7044 0.3750  2 Ta 2.41
P 0.2500 0.7956 0.8750  2 Ta 2.41
P 0.2956 0.2500 0.6250  2 Ta 2.41
P 0.7044 0.7500 0.6250  2 Ta 2.41
P 0.7500 0.2044 0.8750  2 Ta 2.41
P 0.7500 0.2956 0.3750  2 Ta 2.41
P 0.7956 0.7500 0.1250  2 Ta 2.41

Properties
Formation enthalpy at 0 K in eV per atom: 0.114
Total magnetization in μB/f.u.: 0.000
Space group: I-42d, No. 122

Entry 8:
The following is a PBE calculation of a relaxed Ta3C crystal, from the Alexandria database.

a = 4.7473 Å, b = 8.6704 Å, c = 2.9916 Å
α = 90.00°, β = 90.00°, γ = 90.00°
With the nearest neighbours (Å) after each atom.
Fractional positions:
Ta 0.0000 0.0000 0.0000  2 C 2.37
Ta 0.0000 0.3266 0.5000  2 C 2.12
Ta 0.0000 0.6734 0.5000  2 C 2.12
Ta 0.5000 0.1734 0.5000  2 C 2.12
Ta 0.5000 0.5000 0.0000  2 C 2.37
Ta 0.5000 0.8266 0.5000  2 C 2.12
C 0.0000 0.5000 0.0000  6 Ta 2.12-2.37
C 0.5000 0.0000 0.0000  6 Ta 2.12-2.37

Properties
Formation enthalpy at 0 K in eV per atom: -0.301
Total magnetization in μB/f.u.: 0.000
Space group: Cmmm, No. 65

Entry 9:
The following is a PBE calculation of a relaxed Ce6P2CI3 crystal, from the Alexandria database.

a = 7.0335 Å, b = 7.0335 Å, c = 8.0251 Å
α = 98.40°, β = 98.40°, γ = 119.99°
With the nearest neighbours (Å) after each atom.
Fractional positions:
Ce 0.0615 0.3702 0.1855  1 C 2.60, 2 P 2.82-2.83
Ce 0.2455 0.2455 0.8116  1 C 2.61, 2 P 2.83
Ce 0.3702 0.0615 0.1855  1 C 2.60, 2 P 2.82-2.83
Ce 0.6298 0.9385 0.8145  1 C 2.60, 2 P 2.82-2.83
Ce 0.7545 0.7545 0.1884  1 C 2.61, 2 P 2.83
Ce 0.9385 0.6298 0.8145  1 C 2.60, 2 P 2.82-2.83
P 0.3341 0.6659 0.0000  6 Ce 2.82-2.83
P 0.6659 0.3341 0.0000  6 Ce 2.82-2.83
C 0.0000 0.0000 0.0000  6 Ce 2.60-2.61
I 0.1734 0.8266 0.5000  6 Ce 3.31-3.44
I 0.5000 0.5000 0.5000  6 Ce 3.31-3.47
I 0.8266 0.1734 0.5000  6 Ce 3.31-3.44

Properties
E_form (uncorrected) in eV/atom: -1.03
Total magnetization in μB/f.u.: 5.921
Space group: C2/m, No. 12

Entry 10:
The following is a PBE calculation of a relaxed Cs2KBr6N crystal, from the Alexandria database.

a = 7.9236 Å, b = 7.9236 Å, c = 7.9236 Å
α = 60.00°, β = 60.00°, γ = 60.00°
With the nearest neighbours (Å) after each atom.
Fractional positions:
Cs 0.2500 0.2500 0.2500  12 Br 3.98
Cs 0.7500 0.7500 0.7500  12 Br 3.98
K 0.0000 0.0000 0.0000  6 Br 3.19
Br 0.2846 0.2846 0.7154  1 N 2.41
Br 0.2846 0.7154 0.2846  1 N 2.41
Br 0.2846 0.7154 0.7154  1 N 2.41
Br 0.7154 0.2846 0.2846  1 N 2.41
Br 0.7154 0.2846 0.7154  1 N 2.41
Br 0.7154 0.7154 0.2846  1 N 2.41
N 0.5000 0.5000 0.5000  6 Br 2.41

Properties
E_form (uncorrected) in eV/atom: -0.57
Total magnetization in μB/f.u.: 0.000
Space group: Fm-3m, No. 225

Entry 11:
The following is a PBE calculation of a relaxed ZrHg2As crystal, from the Alexandria database.

a = 4.3928 Å, b = 4.4017 Å, c = 9.0451 Å
α = 90.00°, β = 90.00°, γ = 90.00°
With the nearest neighbours (Å) after each atom.
Fractional positions:
Zr 0.0000 0.0000 0.0000  8 Hg 3.10-3.11, 4 Zr 3.11
Zr 0.5000 0.5000 0.0000  8 Hg 3.10-3.11, 4 Zr 3.11
Hg 0.0000 0.5000 0.2423  4 Zr 3.10-3.11, 4 Hg 3.11, 4 As 3.20-3.21
Hg 0.0000 0.5000 0.7577  4 Zr 3.10-3.11, 4 Hg 3.11, 4 As 3.20-3.21
Hg 0.5000 0.0000 0.2423  4 Zr 3.10-3.11, 4 Hg 3.11, 4 As 3.20-3.21
Hg 0.5000 0.0000 0.7577  4 Zr 3.10-3.11, 4 Hg 3.11, 4 As 3.20-3.21
As 0.0000 0.0000 0.5000  4 As 3.11, 8 Hg 3.20-3.21
As 0.5000 0.5000 0.5000  4 As 3.11, 8 Hg 3.20-3.21

Properties
Formation enthalpy at 0 K in eV per atom: 0.103
Total magnetization in μB/f.u.: 0.000
Space group: Cmmm, No. 65

Entry 12:
The following is a PBE calculation of a relaxed GdThTlPd crystal, from the Alexandria database.

a = 7.4778 Å, b = 7.4778 Å, c = 7.4778 Å
α = 90.00°, β = 90.00°, γ = 90.00°
With the nearest neighbours (Å) after each atom.
Fractional positions:
Gd 0.0000 0.0000 0.0000  4 Pd 3.24, 4 Tl 3.24
Gd 0.0000 0.5000 0.5000  4 Tl 3.24, 4 Pd 3.24
Gd 0.5000 0.0000 0.5000  4 Tl 3.24, 4 Pd 3.24
Gd 0.5000 0.5000 0.0000  4 Tl 3.24, 4 Pd 3.24
Th 0.0000 0.0000 0.5000  4 Tl 3.24, 4 Pd 3.24
Th 0.0000 0.5000 0.0000  4 Tl 3.24, 4 Pd 3.24
Th 0.5000 0.0000 0.0000  4 Tl 3.24, 4 Pd 3.24
Th 0.5000 0.5000 0.5000  4 Tl 3.24, 4 Pd 3.24
Tl 0.2500 0.2500 0.2500  4 Gd 3.24, 4 Th 3.24
Tl 0.2500 0.7500 0.7500  4 Gd 3.24, 4 Th 3.24
Tl 0.7500 0.2500 0.7500  4 Gd 3.24, 4 Th 3.24
Tl 0.7500 0.7500 0.2500  4 Gd 3.24, 4 Th 3.24
Pd 0.2500 0.2500 0.7500  4 Gd 3.24, 4 Th 3.24
Pd 0.2500 0.7500 0.2500  4 Gd 3.24, 4 Th 3.24
Pd 0.7500 0.2500 0.2500  4 Gd 3.24, 4 Th 3.24
Pd 0.7500 0.7500 0.7500  4 Gd 3.24, 4 Th 3.24

Properties
Formation enthalpy at 0 K in eV per atom: -0.388
Total magnetization in μB/f.u.: 7.713
Space group: F-43m, No. 216